# ScInTe2

An optimized crystal structure of ScInTe2 (PBE, Alexandria).

## Properties
ΔE_f (raw)   -0.72 eV per atom
SG   No. 44
E   -4.56 eV per atom

a = 8.762 Å, b = 8.762 Å, c = 8.762 Å
α = 154.91°, β = 153.08°, γ = 37.12°
Element x y z (fractional)
Sc: 0.000 0.000 0.000
In: 0.735 0.235 0.500
Te: 0.132 0.632 0.500
Te: 0.430 0.430 0.000